A plane-wave DFT calculation with PBE+U was carried out for an optimized crystal structure of MnSbF4. Values from VASP.

Values from the calculation:
Size of the total moment in Bohr magnetons per cell: 9.9
E_tot in eV/cell: -63.00

Geometry as Quantum ESPRESSO input:
```
&SYSTEM
  ibrav = 0, nat = 12, ntyp = 3
/
ATOMIC_SPECIES
Sb 121.76 Sb.upf
F 19.00 F.upf
Mn 54.94 Mn.upf
CELL_PARAMETERS angstrom
-6.209 -1.775 0.514
4.246 -3.567 -3.349
2.205 -0.256 6.086
ATOMIC_POSITIONS angstrom
Sb 2.408 -4.138 0.187
F -4.030 -1.558 1.903
Sb -1.309 -3.562 -1.890
Mn -0.328 -0.892 -0.473
F 2.165 -2.731 2.723
Mn -2.821 -3.243 2.119
F 0.084 -1.047 4.556
F -2.178 -3.560 0.162
F -3.108 -1.655 5.012
F -0.968 -0.570 1.485
F -1.027 -3.338 3.177
F 0.885 -2.573 -0.255
```